Here is crystalline LiSeCl at its relaxed geometry from Alexandria. Energies are from PBE-GGA. Values from VASP.

total DFT energy (no corrections): -3.503 eV/atom
volume: 77.3 Å³/f.u.
energy relative to the elements, uncorrected: -1.09 eV per atom
space group: P2_1/m (11)
crystal system: monoclinic
spin magnetization: 0.00 μB/f.u.
distance to the lowest polymorph of the same formula: 46 meV per atom

Geometry as Quantum ESPRESSO input:
```
&SYSTEM
  ibrav = 0, nat = 6, ntyp = 3
/
ATOMIC_SPECIES
Li 6.94 Li.upf
Se 78.96 Se.upf
Cl 35.45 Cl.upf
CELL_PARAMETERS angstrom
3.5165 0.0000 0.0000
0.0000 3.9017 0.0000
-1.3028 0.0000 11.2667
ATOMIC_POSITIONS crystal
Li 0.2153 0.2500 0.4030
Li 0.7847 0.7500 0.5970
Se 0.4773 0.7500 0.9413
Se 0.5227 0.2500 0.0587
Cl 0.2942 0.2500 0.6187
Cl 0.7058 0.7500 0.3813
```



Here is crystalline LiSe3Cl at its relaxed geometry from Alexandria. Energies are from PBE-GGA. Values from VASP.

total DFT energy (no corrections): -2.403 eV/atom
volume: 129.8 Å³/f.u.
energy relative to the elements, uncorrected: 0.44 eV per atom
space group: Pm-3m (221)
crystal system: cubic
spin magnetization: 0.00 μB/f.u.
distance to the lowest polymorph of the same formula: 50 meV per atom

Geometry as Quantum ESPRESSO input:
```
&SYSTEM
  ibrav = 0, nat = 5, ntyp = 3
/
ATOMIC_SPECIES
Li 6.94 Li.upf
Se 78.96 Se.upf
Cl 35.45 Cl.upf
CELL_PARAMETERS angstrom
5.0633 0.0000 0.0000
0.0000 5.0633 0.0000
0.0000 0.0000 5.0633
ATOMIC_POSITIONS crystal
Li 0.0000 0.0000 0.0000
Se 0.0000 0.5000 0.5000
Se 0.5000 0.0000 0.5000
Se 0.5000 0.5000 0.0000
Cl 0.5000 0.5000 0.5000
```



Here is crystalline Li2SeCl at its relaxed geometry from Alexandria. Energies are from PBE-GGA. Values from VASP.

total DFT energy (no corrections): -3.373 eV/atom
volume: 74.5 Å³/f.u.
energy relative to the elements, uncorrected: -1.08 eV per atom
space group: C2/m (12)
crystal system: monoclinic
spin magnetization: 0.00 μB/f.u.
distance to the lowest polymorph of the same formula: 149 meV per atom

Geometry as Quantum ESPRESSO input:
```
&SYSTEM
  ibrav = 0, nat = 8, ntyp = 3
/
ATOMIC_SPECIES
Li 6.94 Li.upf
Se 78.96 Se.upf
Cl 35.45 Cl.upf
CELL_PARAMETERS angstrom
7.4860 0.0000 0.0000
0.0000 6.9283 0.0000
-1.1405 0.0000 2.8713
ATOMIC_POSITIONS crystal
Li 0.2500 0.2500 0.0000
Li 0.2500 0.7500 0.0000
Li 0.7500 0.2500 0.0000
Li 0.7500 0.7500 0.0000
Se 0.0000 0.0000 0.5000
Se 0.5000 0.5000 0.5000
Cl 0.0000 0.5000 0.5000
Cl 0.5000 0.0000 0.5000
```



Here is crystalline LiSeCl6 at its relaxed geometry from Alexandria. Energies are from PBE-GGA. Values from VASP.

total DFT energy (no corrections): -2.535 eV/atom
volume: 197.5 Å³/f.u.
energy relative to the elements, uncorrected: -0.47 eV per atom
space group: R-3 (148)
crystal system: trigonal
spin magnetization: 0.53 μB/f.u.

Geometry as Quantum ESPRESSO input:
```
&SYSTEM
  ibrav = 0, nat = 8, ntyp = 3
/
ATOMIC_SPECIES
Li 6.94 Li.upf
Se 78.96 Se.upf
Cl 35.45 Cl.upf
CELL_PARAMETERS angstrom
3.1895 1.8414 5.6039
-3.1895 1.8414 5.6039
0.0000 -3.6829 5.6039
ATOMIC_POSITIONS crystal
Li 0.0000 0.0000 0.0000
Se 0.5000 0.5000 0.5000
Cl 0.1147 0.7256 0.4148
Cl 0.2744 0.5852 0.8853
Cl 0.4148 0.1147 0.7256
Cl 0.5852 0.8853 0.2744
Cl 0.7256 0.4148 0.1147
Cl 0.8853 0.2744 0.5852
```



Here is crystalline LiSeCl at its relaxed geometry from Alexandria. Energies are from PBE-GGA. Values from VASP.

total DFT energy (no corrections): -3.458 eV/atom
volume: 70.9 Å³/f.u.
energy relative to the elements, uncorrected: -1.04 eV per atom
space group: C2/m (12)
crystal system: monoclinic
spin magnetization: 0.00 μB/f.u.
distance to the lowest polymorph of the same formula: 91 meV per atom

Geometry as Quantum ESPRESSO input:
```
&SYSTEM
  ibrav = 0, nat = 12, ntyp = 3
/
ATOMIC_SPECIES
Li 6.94 Li.upf
Se 78.96 Se.upf
Cl 35.45 Cl.upf
CELL_PARAMETERS angstrom
12.0259 0.0000 0.0000
0.0000 3.6625 0.0000
-4.3406 0.0000 6.4374
ATOMIC_POSITIONS crystal
Li 0.1906 0.0000 0.0901
Li 0.3094 0.5000 0.9099
Li 0.6906 0.5000 0.0901
Li 0.8094 0.0000 0.9099
Se 0.1658 0.0000 0.4135
Se 0.3342 0.5000 0.5865
Se 0.6658 0.5000 0.4135
Se 0.8342 0.0000 0.5865
Cl 0.0948 0.5000 0.8642
Cl 0.4052 0.0000 0.1358
Cl 0.5948 0.0000 0.8642
Cl 0.9052 0.5000 0.1358
```



Here is crystalline LiSeCl at its relaxed geometry from Alexandria. Energies are from PBE-GGA. Values from VASP.

total DFT energy (no corrections): -2.721 eV/atom
volume: 59.1 Å³/f.u.
energy relative to the elements, uncorrected: -0.31 eV per atom
space group: P3m1 (156)
crystal system: trigonal
spin magnetization: 0.00 μB/f.u.
distance to the lowest polymorph of the same formula: 828 meV per atom

Geometry as Quantum ESPRESSO input:
```
&SYSTEM
  ibrav = 0, nat = 3, ntyp = 3
/
ATOMIC_SPECIES
Li 6.94 Li.upf
Se 78.96 Se.upf
Cl 35.45 Cl.upf
CELL_PARAMETERS angstrom
4.5192 0.0000 0.0000
-2.2596 3.9137 0.0000
0.0000 0.0000 3.3424
ATOMIC_POSITIONS crystal
Li 0.0000 0.0000 0.0000
Se 0.6667 0.3333 0.4942
Cl 0.3333 0.6667 0.9940
```



Here is crystalline Li2SeCl at its relaxed geometry from Alexandria. Energies are from PBE-GGA. Values from VASP.

total DFT energy (no corrections): -3.415 eV/atom
volume: 111.7 Å³/f.u.
energy relative to the elements, uncorrected: -1.13 eV per atom
space group: Immm (71)
crystal system: orthorhombic
spin magnetization: 0.00 μB/f.u.
distance to the lowest polymorph of the same formula: 107 meV per atom

Geometry as Quantum ESPRESSO input:
```
&SYSTEM
  ibrav = 0, nat = 8, ntyp = 3
/
ATOMIC_SPECIES
Li 6.94 Li.upf
Se 78.96 Se.upf
Cl 35.45 Cl.upf
CELL_PARAMETERS angstrom
3.1041 0.0000 0.0000
0.0000 7.7294 0.0000
0.0000 0.0000 9.3074
ATOMIC_POSITIONS crystal
Li 0.0000 0.2245 0.0000
Li 0.0000 0.7755 0.0000
Li 0.5000 0.2755 0.5000
Li 0.5000 0.7245 0.5000
Se 0.0000 0.0000 0.5000
Se 0.5000 0.5000 0.0000
Cl 0.0000 0.5000 0.5000
Cl 0.5000 0.0000 0.0000
```



Here is crystalline LiWSe2Cl at its relaxed geometry from Alexandria. Energies are from PBE-GGA. Values from VASP.

total DFT energy (no corrections): -4.668 eV/atom
volume: 162.8 Å³/f.u.
energy relative to the elements, uncorrected: 0.07 eV per atom
space group: P4/mmm (123)
crystal system: tetragonal
spin magnetization: 1.33 μB/f.u.

Geometry as Quantum ESPRESSO input:
```
&SYSTEM
  ibrav = 0, nat = 5, ntyp = 4
/
ATOMIC_SPECIES
Li 6.94 Li.upf
W 183.84 W.upf
Se 78.96 Se.upf
Cl 35.45 Cl.upf
CELL_PARAMETERS angstrom
4.7601 0.0000 0.0000
0.0000 4.7601 0.0000
0.0000 0.0000 7.1834
ATOMIC_POSITIONS crystal
Li 0.0000 0.0000 0.0000
W 0.0000 0.0000 0.5000
Se 0.0000 0.5000 0.5000
Se 0.5000 0.0000 0.5000
Cl 0.5000 0.5000 0.0000
```



no.,DOS(E_F) (states/eV/atom)
1,0.158
2,0.720
3,0.422
4,1.597
5,0.009
6,0.795
7,0.378
8,0.475